[1]
VASP calculation (PBE-GGA) on a relaxed HfThTe3 crystal.

```
HfThTe3
1.0
11.2836 -1.9872 0.0000
11.2836 1.9872 0.0000
-0.8223 0.0000 6.9720
Hf Th Te
2 2 6
Direct
0.2448 0.2448 0.2905 Hf
0.7552 0.7552 0.7095 Hf
0.0747 0.0747 0.1279 Th
0.9253 0.9253 0.8721 Th
0.1839 0.1839 0.8883 Te
0.3405 0.3405 0.6017 Te
0.4695 0.4695 0.2278 Te
0.5305 0.5305 0.7722 Te
0.6595 0.6595 0.3983 Te
0.8161 0.8161 0.1117 Te
```

Values from the calculation:
The total energy comes out at -6.2869 eV per atom. For the energy relative to the elements, uncorrected, the calculation gives -0.93 eV/atom. Its density is 8.43 g/cm3. As for the total magnetic moment: 0.000 Bohr magnetons per cell. The energy above the most stable polymorph in this dataset comes out at 0.079 eV/atom.

---

[2]
VASP calculation (PBE-GGA) on a relaxed Rb2ZrReF6 crystal.

```
Rb2ZrReF6
1.0
-3.1152 3.1152 4.3809
3.1152 -3.1152 4.3809
3.1152 3.1152 -4.3809
Rb Zr Re F
2 1 1 6
Direct
0.2500 0.7500 0.5000 Rb
0.7500 0.2500 0.5000 Rb
0.0000 0.0000 0.0000 Zr
0.5000 0.5000 0.0000 Re
0.2460 0.2460 0.0000 F
0.2473 0.2473 0.4946 F
0.2473 0.7527 0.0000 F
0.7527 0.2473 0.0000 F
0.7527 0.7527 0.5054 F
0.7540 0.7540 0.0000 F
```

Values from the calculation:
The total energy comes out at -5.3925 eV per atom. For the energy relative to the elements, uncorrected, the calculation gives -1.98 eV/atom. Its density is 5.49 g/cm3. As for the total magnetic moment: 0.827 Bohr magnetons per cell.

---

[3]
VASP calculation (PBE-GGA) on a relaxed CoCuCl2 crystal.

```
CoCuCl2
1.0
-1.6171 3.2242 3.5662
1.6171 -3.2242 3.5662
1.6171 3.2242 -3.5662
Co Cu Cl
1 1 2
Direct
0.0000 0.0000 0.0000 Co
0.5000 0.5000 0.0000 Cu
0.2427 0.7427 0.5000 Cl
0.7573 0.2573 0.5000 Cl
```

Values from the calculation:
The total energy comes out at -3.6130 eV per atom. For the energy relative to the elements, uncorrected, the calculation gives 0.11 eV/atom. Its density is 4.32 g/cm3. As for the total magnetic moment: 2.014 Bohr magnetons per cell. The energy above the most stable polymorph in this dataset comes out at 0.245 eV/atom.

---

[4]
VASP calculation (PBE-GGA) on a relaxed MgCdIn4 crystal.

```
MgCdIn4
1.0
9.6644 0.0000 0.0000
0.0000 3.2881 0.0000
-2.3673 0.0000 9.5721
Mg Cd In
2 2 8
Direct
0.9997 0.0000 0.1750 Mg
0.0003 0.0000 0.8250 Mg
0.4946 0.0000 0.6644 Cd
0.5054 0.0000 0.3356 Cd
0.0000 0.0000 0.5000 In
0.2269 0.5000 0.0600 In
0.2449 0.5000 0.7317 In
0.2515 0.5000 0.3935 In
0.5000 0.0000 0.0000 In
0.7485 0.5000 0.6065 In
0.7551 0.5000 0.2683 In
0.7731 0.5000 0.9400 In
```

Values from the calculation:
The total energy comes out at -2.2413 eV per atom. The formation enthalpy at 0 K is 0.003 eV/atom. Its density is 6.51 g/cm3. As for the total magnetic moment: 0.000 Bohr magnetons per cell. The energy above the most stable polymorph in this dataset comes out at 0.000 eV/atom.

---

[5]
VASP calculation (PBE-GGA) on a relaxed CeHoCo crystal.

```
CeHoCo
1.0
4.1404 0.0000 0.0000
-2.0702 3.5857 0.0000
0.0000 0.0000 4.7819
Ce Ho Co
1 1 1
Direct
0.0000 0.0000 0.0000 Ce
0.3333 0.6667 0.5000 Ho
0.6667 0.3333 0.0000 Co
```

Values from the calculation:
The total energy comes out at -5.8103 eV per atom. The formation enthalpy at 0 K is 0.062 eV/atom. Its density is 8.51 g/cm3. As for the total magnetic moment: 0.000 Bohr magnetons per cell. The energy above the most stable polymorph in this dataset comes out at 0.219 eV/atom.

---

[6]
VASP calculation (PBE-GGA) on a relaxed SrAlZn2 crystal.

```
SrAlZn2
1.0
7.2602 0.0000 0.0000
0.0000 4.2520 0.0000
0.0000 0.0000 11.7092
Sr Al Zn
4 4 8
Direct
0.2414 0.2500 0.1976 Sr
0.2586 0.7500 0.6976 Sr
0.7414 0.2500 0.3024 Sr
0.7586 0.7500 0.8024 Sr
0.0610 0.7500 0.4182 Al
0.4390 0.2500 0.9182 Al
0.5610 0.7500 0.0818 Al
0.9390 0.2500 0.5818 Al
0.0660 0.2500 0.9110 Zn
0.2433 0.7500 0.9783 Zn
0.2567 0.2500 0.4783 Zn
0.4340 0.7500 0.4110 Zn
0.5660 0.2500 0.5890 Zn
0.7433 0.7500 0.5217 Zn
0.7567 0.2500 0.0217 Zn
0.9340 0.7500 0.0890 Zn
```

Values from the calculation:
The total energy comes out at -2.2125 eV per atom. The formation enthalpy at 0 K is -0.219 eV/atom. Its density is 4.51 g/cm3. As for the total magnetic moment: 0.000 Bohr magnetons per cell.